Record 1
Computed, not measured: a relaxed Ni8Ir crystal at the GGA-PBE level of DFT.

Symmetry = I4/mmm
E_tot = -0.44929 Ry/atom
ΔE_f = 11 meV/atom
Energy above the lowest structure with this stoichiometry = 0 meV per atom

a = 3.5758 Å, b = 5.6403 Å, c = 5.6403 Å
α = 95.77°, β = 108.48°, γ = 71.52°
Fractional coordinates of all 9 atoms:
Ir: 0.0000 0.0000 0.0000
Ni: 0.6682 0.0000 0.3364
Ni: 0.3318 0.0000 0.6636
Ni: 0.0000 0.3355 0.3355
Ni: 0.3318 0.3364 0.0000
Ni: 0.6645 0.3355 0.6645
Ni: 0.6682 0.6636 0.0000
Ni: 0.0000 0.6645 0.6645
Ni: 0.3355 0.6645 0.3355

Record 2
Computed, not measured: a relaxed NiIr3 crystal at the GGA-PBE level of DFT.

Symmetry = I4/mmm
E_tot = -0.59374 Ry/atom
ΔE_f = 13 meV/atom

a = 3.7957 Å, b = 3.7957 Å, c = 4.6642 Å
α = 114.01°, β = 114.01°, γ = 90.00°
Fractional coordinates of all 4 atoms:
Ni: 0.0000 0.0000 0.0000
Ir: 0.2500 0.7500 0.5000
Ir: 0.7500 0.2500 0.5000
Ir: 0.5000 0.5000 0.0000